(1)
! GGA-PBE TbEr3Ni, relaxed; values from VASP
&SYSTEM
  ibrav = 0, nat = 20, ntyp = 3
/
ATOMIC_SPECIES
Tb 158.93 Tb.upf
Er 167.26 Er.upf
Ni 58.69 Ni.upf
CELL_PARAMETERS angstrom
7.8837 0.0000 0.0000
0.0000 7.0982 0.0000
-2.9151 0.0000 9.4392
ATOMIC_POSITIONS angstrom
Tb 0.7014 0.2838 2.4459
Tb -0.7562 3.2653 7.1655
Tb 5.7247 3.8329 2.2737
Tb 4.2672 6.8145 6.9933
Er 0.4491 5.0323 0.2417
Er -1.0085 5.6151 4.9613
Er 1.1238 3.6130 3.5691
Er -0.3338 7.0343 8.2887
Er 1.5082 0.9237 5.7282
Er 2.9658 2.6254 1.0086
Er 2.0028 4.4728 8.4306
Er 3.4604 6.1745 3.7110
Er 5.3023 0.0639 1.1505
Er 3.8448 3.4852 5.8701
Er 5.9771 1.4831 4.4779
Er 4.5195 2.0660 9.1975
Ni 1.6658 5.2504 5.7218
Ni 3.1234 5.3969 1.0022
Ni 1.8452 1.7013 8.4370
Ni 3.3028 1.8478 3.7174
! DOS at the Fermi energy	5.1	states/eV/f.u.
! energy relative to the lowest polymorph listed for this composition	0	meV/atom
! energy of formation	-0.12	eV per atom

(2)
! GGA-PBE TbEr2Ni2, relaxed; values from VASP
&SYSTEM
  ibrav = 0, nat = 5, ntyp = 3
/
ATOMIC_SPECIES
Tb 158.93 Tb.upf
Er 167.26 Er.upf
Ni 58.69 Ni.upf
CELL_PARAMETERS angstrom
5.6836 -1.8802 0.0000
5.6836 1.8802 0.0000
-1.3500 0.0000 5.3036
ATOMIC_POSITIONS angstrom
Tb 0.0000 0.0000 0.0000
Er 3.4388 0.0000 2.1792
Er 6.5784 0.0000 3.1244
Ni 2.0597 0.0000 4.6990
Ni 7.9575 0.0000 0.6046
! DOS at the Fermi energy	6.1	states/eV/f.u.
! energy relative to the lowest polymorph listed for this composition	44	meV/atom
! energy of formation	-0.25	eV per atom

(3)
! GGA-PBE TbEr3Ni2, relaxed; values from VASP
&SYSTEM
  ibrav = 0, nat = 12, ntyp = 3
/
ATOMIC_SPECIES
Tb 158.93 Tb.upf
Er 167.26 Er.upf
Ni 58.69 Ni.upf
CELL_PARAMETERS angstrom
7.9685 -1.9320 0.0000
7.9685 1.9320 0.0000
-6.2082 0.0000 9.4289
ATOMIC_POSITIONS angstrom
Tb 0.9181 0.0000 2.3105
Tb 8.8107 0.0000 7.1184
Er -2.1745 0.0000 7.0358
Er 6.2708 0.0000 0.5721
Er 3.1968 0.0000 5.2630
Er 6.5320 0.0000 4.1659
Er 3.4580 0.0000 8.8568
Er 11.9033 0.0000 2.3931
Ni 3.3762 0.0000 0.4738
Ni 0.2641 0.0000 5.1946
Ni 9.4647 0.0000 4.2343
Ni 6.3526 0.0000 8.9551
! DOS at the Fermi energy	6.3	states/eV/f.u.
! energy of formation	-0.31	eV per atom

> What is the DOS at the Fermi energy in the third record?

6.3 states/eV/f.u.

What did the first record say?
! GGA-PBE TbEr3Ni, relaxed; values from VASP
&SYSTEM
  ibrav = 0, nat = 20, ntyp = 3
/
ATOMIC_SPECIES
Tb 158.93 Tb.upf
Er 167.26 Er.upf
Ni 58.69 Ni.upf
CELL_PARAMETERS angstrom
7.8837 0.0000 0.0000
0.0000 7.0982 0.0000
-2.9151 0.0000 9.4392
ATOMIC_POSITIONS angstrom
Tb 0.7014 0.2838 2.4459
Tb -0.7562 3.2653 7.1655
Tb 5.7247 3.8329 2.2737
Tb 4.2672 6.8145 6.9933
Er 0.4491 5.0323 0.2417
Er -1.0085 5.6151 4.9613
Er 1.1238 3.6130 3.5691
Er -0.3338 7.0343 8.2887
Er 1.5082 0.9237 5.7282
Er 2.9658 2.6254 1.0086
Er 2.0028 4.4728 8.4306
Er 3.4604 6.1745 3.7110
Er 5.3023 0.0639 1.1505
Er 3.8448 3.4852 5.8701
Er 5.9771 1.4831 4.4779
Er 4.5195 2.0660 9.1975
Ni 1.6658 5.2504 5.7218
Ni 3.1234 5.3969 1.0022
Ni 1.8452 1.7013 8.4370
Ni 3.3028 1.8478 3.7174
! DOS at the Fermi energy	5.1	states/eV/f.u.
! energy relative to the lowest polymorph listed for this composition	0	meV/atom
! energy of formation	-0.12	eV per atom

> Number 2 is which compound?

TbEr2Ni2

> Which value of DOS at the Fermi energy does entry 1 give?

5.1 states/eV/f.u.